[1]
Computed, not measured: a PBEsol-optimized structure of Si2HgNO at the SCAN level of DFT.

Cell lengths 4.098, 4.098, 4.006 Å; angles 90.00, 90.00, 90.00 degrees
Space group P4/mmm (No. 123)
Asymmetric unit:
Si (0.000, 0.500, 0.000) [2 per cell]
Hg (0.000, 0.000, 0.500) [1 per cell]
N (0.500, 0.500, 0.500) [1 per cell]
O (0.500, 0.500, 0.000) [1 per cell]

* total moment: 0.529 μB per formula unit
* energy relative to the elements, uncorrected: 1.09 eV per atom
* E: -98.3 eV/cell

***

[2]
Computed, not measured: a PBEsol-optimized structure of CoHPdPt2 at the SCAN level of DFT.

Cell lengths 4.807, 4.807, 4.452 Å; angles 90.00, 90.00, 90.00 degrees
Space group P4/mmm (No. 123)
Asymmetric unit:
Co (0.000, 0.000, 0.000) [1 per cell]
H (0.500, 0.500, 0.000) [1 per cell]
Pd (0.000, 0.000, 0.500) [1 per cell]
Pt (0.000, 0.500, 0.500) [2 per cell]

* total moment: 3.261 μB per formula unit
* E: -184.3 eV/cell

***

[3]
Computed, not measured: a PBEsol-optimized structure of InCuP4 at the SCAN level of DFT.

Cell lengths 7.712, 7.712, 7.712 Å; angles 90.00, 90.00, 90.00 degrees
Space group F-43m (No. 216)
Asymmetric unit:
In (0.000, 0.000, 0.000) [4 per cell]
Cu (0.250, 0.250, 0.750) [4 per cell]
P (0.103, 0.103, 0.397) [16 per cell]

* total moment: 0.000 μB per formula unit
* DFT formation energy: 0.691 eV/atom
* E: -344.1 eV/cell

***

[4]
Computed, not measured: a PBEsol-optimized structure of AgHgPd2 at the SCAN level of DFT.

Cell lengths 6.378, 6.378, 6.378 Å; angles 90.00, 90.00, 90.00 degrees
Space group Fm-3m (No. 225)
Asymmetric unit:
Ag (0.000, 0.000, 0.000) [4 per cell]
Hg (0.000, 0.000, 0.500) [4 per cell]
Pd (0.250, 0.250, 0.250) [8 per cell]

* total moment: 0.000 μB per formula unit
* DFT formation energy: -0.158 eV/atom
* E: -662.8 eV/cell

***

[5]
Computed, not measured: a PBEsol-optimized structure of Ba2Au at the SCAN level of DFT.

Cell lengths 7.828, 7.828, 7.828 Å; angles 90.00, 90.00, 90.00 degrees
Space group Fm-3m (No. 225)
Asymmetric unit:
Ba (0.250, 0.250, 0.250) [8 per cell]
Au (0.000, 0.000, 0.000) [4 per cell]

* total moment: 0.006 μB per formula unit
* DFT formation energy: -0.609 eV/atom
* E: -600.3 eV/cell

***

[6]
Computed, not measured: a PBEsol-optimized structure of SnBr2N2 at the SCAN level of DFT.

Cell lengths 4.552, 4.552, 8.939 Å; angles 90.00, 90.00, 90.00 degrees
Space group I4/mmm (No. 139)
Asymmetric unit:
Sn (0.000, 0.000, 0.000) [2 per cell]
Br (0.000, 0.000, 0.308) [4 per cell]
N (0.000, 0.500, 0.250) [4 per cell]

* total moment: 0.000 μB per formula unit
* energy relative to the elements, uncorrected: 1.86 eV per atom
* E: -168.2 eV/cell

***

[7]
Computed, not measured: a PBEsol-optimized structure of ScSi3Br at the SCAN level of DFT.

Cell lengths 4.814, 4.814, 4.814 Å; angles 90.00, 90.00, 90.00 degrees
Space group Pm-3m (No. 221)
Asymmetric unit:
Sc (0.000, 0.000, 0.000) [1 per cell]
Si (0.000, 0.500, 0.500) [3 per cell]
Br (0.500, 0.500, 0.500) [1 per cell]

* total moment: 0.000 μB per formula unit
* energy relative to the elements, uncorrected: 1.17 eV per atom
* E: -57.9 eV/cell
* E above lowest polymorph: 0.134 eV per atom

***

[8]
Computed, not measured: a PBEsol-optimized structure of MgNiPt2 at the SCAN level of DFT.

Cell lengths 6.113, 6.113, 6.113 Å; angles 90.00, 90.00, 90.00 degrees
Space group F-43m (No. 216)
Asymmetric unit:
Mg (0.000, 0.000, 0.000) [4 per cell]
Ni (0.250, 0.250, 0.250) [4 per cell]
Pt (0.000, 0.000, 0.500) [4 per cell]
Pt (0.250, 0.250, 0.750) [4 per cell]

* total moment: 0.001 μB per formula unit
* DFT formation energy: -0.295 eV/atom
* E: -650.9 eV/cell

***

[9]
Computed, not measured: a PBEsol-optimized structure of Ba3PPt at the SCAN level of DFT.

Cell lengths 5.857, 5.857, 5.857 Å; angles 90.00, 90.00, 90.00 degrees
Space group Pm-3m (No. 221)
Asymmetric unit:
Ba (0.000, 0.000, 0.500) [3 per cell]
P (0.500, 0.500, 0.500) [1 per cell]
Pt (0.000, 0.000, 0.000) [1 per cell]

* total moment: 0.000 μB per formula unit
* DFT formation energy: -0.523 eV/atom
* E: -201.9 eV/cell

***

[10]
Computed, not measured: a PBEsol-optimized structure of LaTlCd2 at the SCAN level of DFT.

Cell lengths 4.628, 4.646, 4.825 Å; angles 90.00, 90.00, 90.00 degrees
Space group Pmmm (No. 47)
Asymmetric unit:
La (0.000, 0.000, 0.000) [1 per cell]
Tl (0.500, 0.500, 0.000) [1 per cell]
Cd (0.000, 0.500, 0.500) [1 per cell]
Cd (0.500, 0.000, 0.500) [1 per cell]

* total moment: 0.000 μB per formula unit
* DFT formation energy: -0.371 eV/atom
* E: -177.8 eV/cell

***

[11]
Computed, not measured: a PBEsol-optimized structure of BP4S3Br3 at the SCAN level of DFT.

Cell lengths 6.409, 10.714, 8.701 Å; angles 90.00, 109.24, 90.00 degrees
Space group P2_1/m (No. 11)
Asymmetric unit:
B (0.176, 0.250, 0.277) [2 per cell]
P (0.131, 0.250, 0.842) [2 per cell]
P (0.248, 0.250, 0.517) [2 per cell]
P (0.450, 0.144, 0.875) [4 per cell]
S (0.030, 0.750, 0.411) [2 per cell]
S (0.430, 0.097, 0.636) [4 per cell]
Br (0.006, 0.094, 0.198) [4 per cell]
Br (0.469, 0.250, 0.236) [2 per cell]

* total moment: 0.000 μB per formula unit
* energy relative to the elements, uncorrected: -0.32 eV per atom
* E: -279.6 eV/cell

***

[12]
Computed, not measured: a PBEsol-optimized structure of KCd2 at the SCAN level of DFT.

Cell lengths 3.066, 18.291, 5.759 Å; angles 90.00, 90.00, 90.00 degrees
Space group Cmcm (No. 63)
Asymmetric unit:
K (0.000, 0.118, 0.250) [4 per cell]
Cd (0.000, 0.209, 0.750) [4 per cell]
Cd (0.000, 0.449, 0.250) [4 per cell]

* total moment: 0.000 μB per formula unit
* DFT formation energy: 0.024 eV/atom
* E: -276.3 eV/cell

***

[13]
Computed, not measured: a PBEsol-optimized structure of GaSeN2F at the SCAN level of DFT.

Cell lengths 3.713, 3.713, 5.539 Å; angles 90.00, 90.00, 90.00 degrees
Space group P4/mmm (No. 123)
Asymmetric unit:
Ga (0.000, 0.000, 0.000) [1 per cell]
Se (0.000, 0.000, 0.500) [1 per cell]
N (0.000, 0.500, 0.000) [2 per cell]
F (0.500, 0.500, 0.500) [1 per cell]

* total moment: 4.288 μB per formula unit
* energy relative to the elements, uncorrected: 1.10 eV per atom
* E: -53.0 eV/cell
* E above lowest polymorph: 0.243 eV per atom

***

[14]
Computed, not measured: a PBEsol-optimized structure of Ca2CuSi at the SCAN level of DFT.

Cell lengths 3.552, 4.772, 10.226 Å; angles 90.00, 90.00, 90.00 degrees
Space group Imm2 (No. 44)
Asymmetric unit:
Ca (0.000, 0.000, 0.000) [2 per cell]
Ca (0.000, 0.500, 0.204) [2 per cell]
Cu (0.000, 0.500, 0.776) [2 per cell]
Si (0.000, 0.000, 0.426) [2 per cell]

* total moment: 0.000 μB per formula unit
* energy relative to the elements, uncorrected: -0.21 eV per atom
* E: -90.8 eV/cell

***

[15]
Computed, not measured: a PBEsol-optimized structure of NbRe3F at the SCAN level of DFT.

Cell lengths 4.735, 4.735, 4.735 Å; angles 90.00, 90.00, 90.00 degrees
Space group Pm-3m (No. 221)
Asymmetric unit:
Nb (0.000, 0.000, 0.000) [1 per cell]
Re (0.000, 0.000, 0.500) [3 per cell]
F (0.500, 0.500, 0.500) [1 per cell]

* total moment: 3.710 μB per formula unit
* energy relative to the elements, uncorrected: 2.66 eV per atom
* E: -236.7 eV/cell

***

[16]
Computed, not measured: a PBEsol-optimized structure of Te2Au2Se at the SCAN level of DFT.

Cell lengths 3.873, 3.873, 15.164 Å; angles 90.00, 90.00, 90.00 degrees
Space group I4/mmm (No. 139)
Asymmetric unit:
Te (0.000, 0.000, 0.109) [4 per cell]
Au (0.000, 0.500, 0.250) [4 per cell]
Se (0.000, 0.000, 0.500) [2 per cell]

* total moment: 0.000 μB per formula unit
* energy relative to the elements, uncorrected: 0.17 eV per atom
* E: -464.1 eV/cell

***

[17]
Computed, not measured: a PBEsol-optimized structure of CsNaTi2Pd at the SCAN level of DFT.

Cell lengths 4.925, 4.925, 6.499 Å; angles 90.00, 90.00, 90.00 degrees
Space group P4/mmm (No. 123)
Asymmetric unit:
Cs (0.000, 0.000, 0.000) [1 per cell]
Na (0.500, 0.500, 0.000) [1 per cell]
Ti (0.000, 0.500, 0.500) [2 per cell]
Pd (0.000, 0.000, 0.500) [1 per cell]

* total moment: 4.122 μB per formula unit
* DFT formation energy: 0.678 eV/atom
* E: -103.5 eV/cell

***

[18]
Computed, not measured: a PBEsol-optimized structure of YTeOs2 at the SCAN level of DFT.

Cell lengths 3.1591, 3.1591, 25.9643 Å; angles 90.00, 90.00, 120.00 degrees
Space group R-3m (No. 166, hexagonal axes)
Asymmetric unit:
Y (0.0000, 0.0000, 0.0000) [3 per cell]
Te (0.0000, 0.0000, 0.5000) [3 per cell]
Os (0.0000, 0.0000, 0.2461) [6 per cell]

* total moment: 0.000 μB per formula unit
* energy relative to the elements, uncorrected: 0.63 eV per atom
* E: -619.0 eV/cell

***

[19]
Computed, not measured: a PBEsol-optimized structure of KNaS2 at the SCAN level of DFT.

Cell lengths 4.944, 4.944, 17.908 Å; angles 90.00, 90.00, 90.00 degrees
Space group I-42d (No. 122)
Asymmetric unit:
K (0.000, 0.000, 0.000) [4 per cell]
Na (0.000, 0.000, 0.500) [4 per cell]
S (0.062, 0.250, 0.625) [8 per cell]

* total moment: 0.000 μB per formula unit
* energy relative to the elements, uncorrected: -0.78 eV per atom
* E: -139.7 eV/cell
* E above lowest polymorph: 0.000 eV per atom

***

[20]
Computed, not measured: a PBEsol-optimized structure of CdGeI2O at the SCAN level of DFT.

Cell lengths 5.746, 5.746, 3.751 Å; angles 90.00, 90.00, 90.00 degrees
Space group P4/mmm (No. 123)
Asymmetric unit:
Cd (0.000, 0.000, 0.000) [1 per cell]
Ge (0.500, 0.500, 0.500) [1 per cell]
I (0.000, 0.500, 0.500) [2 per cell]
O (0.500, 0.500, 0.000) [1 per cell]

* total moment: 0.000 μB per formula unit
* energy relative to the elements, uncorrected: -0.25 eV per atom
* E: -130.5 eV/cell